First-principles (GGA-PBE) data for an optimized crystal structure of AlAg2P, as listed in Alexandria.

Lattice parameters (Å, degrees): 2.900 2.900 8.048 90.00 90.00 90.00
Fractional coordinates of all 4 atoms:
Al 0.000 0.000 0.000
Ag 0.500 0.500 0.241
Ag 0.500 0.500 0.759
P 0.000 0.000 0.500

Results
Energy: -3.49 eV/atom
Size of the total moment: 0.0 μB per cell

First-principles (GGA-PBE) data for an optimized crystal structure of NpPbO2, as listed in Alexandria.

Lattice parameters (Å, degrees): 8.230 8.230 8.230 24.03 24.03 24.03
Fractional coordinates of all 4 atoms:
Np 0.000 0.000 0.000
Pb 0.500 0.500 0.500
O 0.078 0.078 0.078
O 0.922 0.922 0.922

Results
Energy relative to the elements, uncorrected: -1.3087 eV per atom
Size of the total moment: 2.4 μB per cell

First-principles (GGA-PBE) data for an optimized crystal structure of AgOsSe4, as listed in Alexandria.

Lattice parameters (Å, degrees): 5.609 5.609 5.609 60.00 60.00 60.00
Fractional coordinates of all 6 atoms:
Ag 0.000 0.000 0.000
Os 0.750 0.750 0.750
Se 0.376 0.376 0.376
Se 0.376 0.376 0.873
Se 0.376 0.873 0.376
Se 0.873 0.376 0.376

Results
Energy relative to the elements, uncorrected: 1.3239 eV per atom
Size of the total moment: 3.2 μB per cell

First-principles (GGA-PBE) data for an optimized crystal structure of CaHo2O, as listed in Alexandria.

Lattice parameters (Å, degrees): 9.444 9.444 9.444 21.46 21.46 21.46
Fractional coordinates of all 4 atoms:
Ca 0.000 0.000 0.000
Ho 0.120 0.120 0.120
Ho 0.880 0.880 0.880
O 0.500 0.500 0.500

Results
Energy relative to the elements, uncorrected: -1.1901 eV per atom
Size of the total moment: 0.0 μB per cell

What did the second record say?
First-principles (GGA-PBE) data for an optimized crystal structure of NpPbO2, as listed in Alexandria.

Lattice parameters (Å, degrees): 8.230 8.230 8.230 24.03 24.03 24.03
Fractional coordinates of all 4 atoms:
Np 0.000 0.000 0.000
Pb 0.500 0.500 0.500
O 0.078 0.078 0.078
O 0.922 0.922 0.922

Results
Energy relative to the elements, uncorrected: -1.3087 eV per atom
Size of the total moment: 2.4 μB per cell

- What is the size of the total moment in the fourth record?
  0.0 μB per cell

Copy entry 2 word for word.
First-principles (GGA-PBE) data for an optimized crystal structure of NpPbO2, as listed in Alexandria.

Lattice parameters (Å, degrees): 8.230 8.230 8.230 24.03 24.03 24.03
Fractional coordinates of all 4 atoms:
Np 0.000 0.000 0.000
Pb 0.500 0.500 0.500
O 0.078 0.078 0.078
O 0.922 0.922 0.922

Results
Energy relative to the elements, uncorrected: -1.3087 eV per atom
Size of the total moment: 2.4 μB per cell